DFT (meta-GGA SCAN) results for Pr5Co2B6 at its PBEsol-relaxed geometry.

Lattice parameters (Å, degrees): 5.433 5.433 8.766 71.95 71.95 60.00
Positions (direct):
1 Co 0.876 0.876 0.371
2 B 0.500 0.167 0.500
3 Pr 0.584 0.584 0.249
4 Pr 0.000 0.000 0.000
5 B 0.500 0.833 0.500
6 B 0.833 0.167 0.500
7 Pr 0.749 0.749 0.754
8 B 0.167 0.833 0.500
9 Pr 0.416 0.416 0.751
10 B 0.833 0.500 0.500
11 B 0.167 0.500 0.500
12 Pr 0.251 0.251 0.246
13 Co 0.124 0.124 0.629

Computed properties:
As for the space group: R-3m, No. 166. The formation energy is -0.408 eV per atom.



DFT (meta-GGA SCAN) results for Pr3Co13B2 at its PBEsol-relaxed geometry.

Lattice parameters (Å, degrees): 5.000 5.000 10.615 90.00 90.00 120.00
Last column: magnetic moment on the atom in μB.
Positions (direct):
1 Co 0.667 0.333 0.319  1.80
2 Co 0.000 0.500 0.864  0.98
3 Co 0.500 0.000 0.864  0.98
4 Co 0.000 0.500 0.500  1.69
5 Co 0.333 0.667 0.681  1.80
6 Co 0.500 0.000 0.136  0.98
7 Co 0.500 0.500 0.500  1.69
8 Pr 0.000 0.000 0.323  -0.27
9 Co 0.500 0.500 0.136  0.98
10 Co 0.000 0.500 0.136  0.98
11 Pr 0.000 0.000 0.677  -0.27
12 Co 0.500 0.500 0.864  0.98
13 Pr 0.000 0.000 0.000  -0.23
14 Co 0.500 0.000 0.500  1.69
15 Co 0.333 0.667 0.319  1.80
16 B 0.667 0.333 0.000  -0.09
17 B 0.333 0.667 0.000  -0.09
18 Co 0.667 0.333 0.681  1.80

Computed properties:
As for the space group: P6/mmm, No. 191. The formation energy is -0.045 eV per atom.



DFT (meta-GGA SCAN) results for Pr3Co29Si4B10 at its PBEsol-relaxed geometry.

Lattice parameters (Å, degrees): 7.757 11.039 11.039 90.00 90.00 90.00
Last column: magnetic moment on the atom in μB.
Positions (direct):
1 B 0.482 0.185 0.315  -0.04
2 Si 0.176 0.000 0.818  -0.03
3 Co 0.253 0.886 0.386  1.32
4 Co 0.338 0.662 0.325  1.13
5 Co 0.972 0.163 0.500  1.16
6 Co 0.747 0.386 0.886  1.32
7 Co 0.338 0.175 0.838  1.13
8 Co 0.301 0.390 0.110  1.06
9 Si 0.176 0.000 0.182  -0.03
10 Co 0.889 0.000 0.110  0.20
11 Co 0.525 0.275 0.000  1.17
12 Si 0.176 0.318 0.500  -0.03
13 Co 0.525 0.500 0.225  1.17
14 Co 0.475 0.000 0.275  1.17
15 Co 0.475 0.225 0.500  1.17
16 Co 0.889 0.390 0.500  0.20
17 B 0.262 0.756 0.000  -0.06
18 B 0.891 0.500 0.000  -0.06
19 Co 0.338 0.825 0.162  1.13
20 Co 0.747 0.386 0.114  1.32
21 Co 0.747 0.614 0.886  1.32
22 Co 0.111 0.890 0.000  0.20
23 Co 0.301 0.610 0.110  1.06
24 Co 0.111 0.500 0.610  0.20
25 Co 0.301 0.390 0.890  1.06
26 Co 0.662 0.838 0.175  1.13
27 Co 0.525 0.500 0.775  1.17
28 Co 0.028 0.500 0.163  1.16
29 Co 0.662 0.675 0.662  1.13
30 Pr 0.500 0.500 0.500  -0.09
31 B 0.482 0.815 0.685  -0.04
32 Co 0.747 0.614 0.114  1.32
33 B 0.518 0.685 0.185  -0.04
34 Co 0.253 0.114 0.614  1.32
35 Si 0.824 0.500 0.318  -0.03
36 Co 0.662 0.325 0.338  1.13
37 Pr 0.000 0.750 0.750  -0.10
38 B 0.482 0.185 0.685  -0.04
39 Co 0.972 0.000 0.663  1.16
40 Co 0.253 0.886 0.614  1.32
41 Si 0.824 0.500 0.682  -0.03
42 Pr 0.500 0.000 0.000  -0.09
43 Co 0.699 0.110 0.610  1.06
44 Co 0.662 0.838 0.825  1.13
45 B 0.738 0.256 0.500  -0.06
46 Pr 0.000 0.250 0.750  -0.10
47 Pr 0.000 0.250 0.250  -0.10
48 Co 0.111 0.500 0.390  0.20
49 Co 0.028 0.663 0.000  1.16
50 Si 0.176 0.682 0.500  -0.03
51 Co 0.111 0.110 0.000  0.20
52 Co 0.662 0.162 0.825  1.13
53 Co 0.475 0.775 0.500  1.17
54 Co 0.338 0.662 0.675  1.13
55 Co 0.338 0.175 0.162  1.13
56 B 0.262 0.244 0.000  -0.06
57 Co 0.301 0.610 0.890  1.06
58 Co 0.889 0.000 0.890  0.20
59 Si 0.824 0.182 0.000  -0.03
60 Si 0.824 0.818 0.000  -0.03
61 B 0.262 0.500 0.744  -0.06
62 B 0.262 0.500 0.256  -0.06
63 Co 0.662 0.675 0.338  1.13
64 Co 0.972 0.000 0.337  1.16
65 B 0.850 0.000 0.500  -0.03
66 Co 0.475 0.000 0.725  1.17
67 Co 0.662 0.162 0.175  1.13
68 Co 0.699 0.110 0.390  1.06
69 B 0.738 0.000 0.756  -0.06
70 Co 0.028 0.337 0.000  1.16
71 Co 0.699 0.890 0.390  1.06
72 B 0.518 0.685 0.815  -0.04
73 Co 0.338 0.825 0.838  1.13
74 B 0.482 0.815 0.315  -0.04
75 B 0.738 0.744 0.500  -0.06
76 Co 0.525 0.725 0.000  1.17
77 Co 0.253 0.114 0.386  1.32
78 Co 0.338 0.338 0.675  1.13
79 Co 0.889 0.610 0.500  0.20
80 Co 0.469 0.000 0.500  2.09
81 B 0.518 0.315 0.185  -0.04
82 B 0.109 0.000 0.500  -0.06
83 Co 0.699 0.890 0.610  1.06
84 B 0.518 0.315 0.815  -0.04
85 Pr 0.000 0.750 0.250  -0.10
86 B 0.738 0.000 0.244  -0.06
87 Co 0.338 0.338 0.325  1.13
88 Co 0.662 0.325 0.662  1.13
89 B 0.150 0.500 0.000  -0.03
90 Co 0.028 0.500 0.837  1.16
91 Co 0.972 0.837 0.500  1.16
92 Co 0.531 0.500 0.000  2.09

Computed properties:
As for the space group: P4/nmm, No. 129. For the uncorrected formation energy, the calculation gives -320 meV/atom.



DFT (meta-GGA SCAN) results for RbCoB2 at its PBEsol-relaxed geometry.

Lattice parameters (Å, degrees): 5.932 5.932 5.932 60.00 60.00 60.00
Positions (direct):
1 B 0.125 0.625 0.625
2 B 0.625 0.625 0.125
3 Rb 0.250 0.250 0.250
4 Co 0.750 0.750 0.750
5 Rb 0.000 0.000 0.000
6 B 0.625 0.625 0.625
7 Co 0.500 0.500 0.500
8 B 0.625 0.125 0.625

Computed properties:
As for the space group: Fd-3m, No. 227. The formation energy is 0.479 eV per atom. The polymorph energy (0 for the lowest one) comes out at 0 meV per atom.



DFT (meta-GGA SCAN) results for RbCoB2 at its PBEsol-relaxed geometry.

Lattice parameters (Å, degrees): 4.319 4.319 4.319 60.00 60.00 60.00
Last column: magnetic moment on the atom in μB.
Positions (direct):
1 Co 0.000 0.000 0.000  1.89
2 B 0.250 0.250 0.250  -0.10
3 B 0.750 0.750 0.750  -0.10
4 Rb 0.500 0.500 0.500  -0.04

Computed properties:
As for the space group: Fm-3m, No. 225. The formation energy is 2.375 eV per atom. The polymorph energy (0 for the lowest one) comes out at 1896 meV per atom.



DFT (meta-GGA SCAN) results for CoRe2B2 at its PBEsol-relaxed geometry.

Lattice parameters (Å, degrees): 3.393 5.382 5.382 90.00 90.00 90.00
Positions (direct):
1 Re 0.500 0.820 0.320
2 Co 0.000 0.000 0.000
3 B 0.000 0.119 0.381
4 Co 0.000 0.500 0.500
5 B 0.000 0.619 0.119
6 Re 0.500 0.180 0.680
7 B 0.000 0.881 0.619
8 B 0.000 0.381 0.881
9 Re 0.500 0.680 0.820
10 Re 0.500 0.320 0.180

Computed properties:
As for the space group: P4/mbm, No. 127. The formation energy is -0.182 eV per atom.



DFT (meta-GGA SCAN) results for CoReB at its PBEsol-relaxed geometry.

Lattice parameters (Å, degrees): 3.272 5.558 6.431 90.00 90.00 90.00
Positions (direct):
1 Co 0.750 0.355 0.056
2 B 0.250 0.769 0.624
3 Co 0.250 0.145 0.556
4 B 0.750 0.231 0.376
5 Co 0.750 0.855 0.444
6 Re 0.250 0.529 0.328
7 B 0.750 0.731 0.124
8 Re 0.750 0.971 0.828
9 Re 0.750 0.471 0.672
10 B 0.250 0.269 0.876
11 Re 0.250 0.029 0.172
12 Co 0.250 0.645 0.944

Computed properties:
As for the space group: Pnma, No. 62. The formation energy is -0.196 eV per atom.



DFT (meta-GGA SCAN) results for Co3ReB4 at its PBEsol-relaxed geometry.

Lattice parameters (Å, degrees): 3.017 4.078 5.342 91.56 90.00 90.00
Last column: magnetic moment on the atom in μB.
Positions (direct):
1 B 0.000 0.636 0.955  -0.01
2 B 0.000 0.870 0.480  -0.01
3 Co 0.000 0.130 0.827  0.17
4 Co 0.500 0.628 0.680  -0.05
5 B 0.500 0.392 0.014  -0.01
6 Re 0.000 0.368 0.321  0.02
7 Co 0.500 0.873 0.173  0.30
8 B 0.500 0.102 0.551  0.00

Computed properties:
As for the space group: Pm, No. 6. The formation energy is -0.212 eV per atom.



DFT (meta-GGA SCAN) results for Sc2CoReB at its PBEsol-relaxed geometry.

Lattice parameters (Å, degrees): 3.993 4.961 4.961 90.00 90.00 90.00
Last column: magnetic moment on the atom in μB.
Positions (direct):
1 B 0.500 0.000 0.000  0.00
2 Re 0.000 0.000 0.000  -0.07
3 Co 0.500 0.500 0.500  -1.99
4 Sc 0.000 0.000 0.500  0.05
5 Sc 0.000 0.500 0.000  0.05

Computed properties:
As for the space group: P4/mmm, No. 123. The formation energy is 0.702 eV per atom.



DFT (meta-GGA SCAN) results for CoBRh3 at its PBEsol-relaxed geometry.

Lattice parameters (Å, degrees): 4.325 4.325 4.325 90.00 90.00 90.00
Last column: magnetic moment on the atom in μB.
Positions (direct):
1 B 0.500 0.500 0.500  -0.04
2 Rh 0.000 0.000 0.500  0.71
3 Rh 0.000 0.500 0.000  0.71
4 Co 0.000 0.000 0.000  1.67
5 Rh 0.500 0.000 0.000  0.71

Computed properties:
As for the space group: Pm-3m, No. 221. The formation energy is 1.857 eV per atom.



DFT (meta-GGA SCAN) results for CoB3Ru at its PBEsol-relaxed geometry.

Lattice parameters (Å, degrees): 3.933 3.933 3.933 90.00 90.00 90.00
Last column: magnetic moment on the atom in μB.
Positions (direct):
1 Co 0.500 0.500 0.500  1.97
2 B 0.000 0.000 0.500  0.05
3 B 0.500 0.000 0.000  0.05
4 B 0.000 0.500 0.000  0.05
5 Ru 0.000 0.000 0.000  0.05

Computed properties:
As for the space group: Pm-3m, No. 221. The formation energy is 1.259 eV per atom.



DFT (meta-GGA SCAN) results for CoB2Ru2 at its PBEsol-relaxed geometry.

Lattice parameters (Å, degrees): 3.399 5.268 5.268 90.00 90.00 90.00
Positions (direct):
1 B 0.000 0.124 0.376
2 B 0.000 0.376 0.876
3 Ru 0.500 0.821 0.321
4 B 0.000 0.624 0.124
5 Ru 0.500 0.321 0.179
6 Co 0.000 0.000 0.000
7 Co 0.000 0.500 0.500
8 Ru 0.500 0.679 0.821
9 B 0.000 0.876 0.624
10 Ru 0.500 0.179 0.679

Computed properties:
As for the space group: P4/mbm, No. 127. The formation energy is -0.190 eV per atom.



Question: Which formula does entry 4 have?
Answer: RbCoB2